Below is crystalline K2CaFeF at its relaxed geometry, with properties calculated at the PBE+U level.

Results
The magnetization comes out at 3.0 μB per cell. The density is 1.10 g/cm³. For the total energy, the calculation gives -2.05 eV/atom.

Lattice parameters (Å, degrees): 7.300 7.300 5.489 90.00 90.00 90.00
Space group P4/mmm (No. 123)
One atom of each set of equivalent atoms:
K 0.000 0.500 0.000 [2 per cell]
Ca 0.000 0.000 0.000 [1 per cell]
Fe 0.000 0.000 0.500 [1 per cell]
F 0.500 0.500 0.500 [1 per cell]